# CsTlOs3 GGA-PBEsol optimized geometry
# Uncorrected energy ... -20.908 eV/cell
# Symmetry ... No. 221
# DFT formation energy ... 3.862 eV/atom
# Calculated volume ... 123.2 Å³/cell
# Magnetic moment ... 0.998 μB per atom
data_CsTlOs3
_chemical_formula_sum 'Cs1 Tl1 Os3'
_symmetry_space_group_name_H-M 'P 1'
_symmetry_Int_Tables_number 1
_cell_length_a 4.976
_cell_length_b 4.976
_cell_length_c 4.976
_cell_angle_alpha 90.00
_cell_angle_beta 90.00
_cell_angle_gamma 90.00
loop_
_symmetry_equiv_pos_as_xyz
'x,y,z'
loop_
_atom_site_label
_atom_site_type_symbol
_atom_site_fract_x
_atom_site_fract_y
_atom_site_fract_z
Os1 Os 0.000 0.500 0.000
Tl1 Tl 0.500 0.500 0.500
Os2 Os 0.500 0.000 0.000
Os3 Os 0.000 0.000 0.500
Cs1 Cs 0.000 0.000 0.000